Entry 1:
# K14Hf2S9

A relaxed structure of K14Hf2S9 (PBE, the Alexandria database).

a b c (Å): 9.1420 9.1420 12.4663
angles (deg): 90.00 90.00 120.00
Space group P-3 (No. 147)
Asymmetric unit:
K 0.0000 0.0000 0.2455 x2
K 0.0506 0.6814 0.4062 x6
K 0.0926 0.3942 0.0989 x6
Hf 0.3333 0.6667 0.7717 x2
S 0.0000 0.0000 0.5000 x1
S 0.1081 0.3982 0.8358 x6
S 0.3333 0.6667 0.5777 x2

Values from the calculation:
- Energy: -3.95 eV/atom
- E_form (uncorrected): -1.0570 eV per atom
- Fermi-level density of states: 0.267 states/eV per atom



Entry 2:
# KHfS3

A relaxed structure of KHfS3 (PBE, the Alexandria database).

a b c (Å): 7.142 10.043 7.879
angles (deg): 90.00 116.81 90.00
Space group Cm (No. 8)
Asymmetric unit:
K 0.000 0.000 0.000 x2
K 0.008 0.500 0.003 x2
Hf 0.241 0.250 0.478 x4
S 0.106 0.310 0.710 x4
S 0.158 0.000 0.520 x2
S 0.364 0.237 0.223 x4
S 0.365 0.500 0.519 x2

Values from the calculation:
- Energy above the lowest structure with this stoichiometry: 49 meV/atom
- Energy: -6.01 eV/atom
- E_form (uncorrected): -1.3278 eV per atom
- Fermi-level density of states: 0.000 states/eV per atom



Entry 3:
# KHfS3

A relaxed structure of KHfS3 (PBE, the Alexandria database).

a b c (Å): 5.801 17.323 7.587
angles (deg): 90.00 90.00 90.00
Space group Cmcm (No. 63)
Asymmetric unit:
K 0.000 0.162 0.250 x4
Hf 0.000 0.415 0.250 x4
S 0.000 0.500 0.000 x4
S 0.220 0.183 0.750 x8

Values from the calculation:
- Energy above the lowest structure with this stoichiometry: 362 meV/atom
- Energy: -5.70 eV/atom
- E_form (uncorrected): -1.0146 eV per atom
- Fermi-level density of states: 0.139 states/eV per atom



Entry 4:
# KHfS3

A relaxed structure of KHfS3 (PBE, the Alexandria database).

a b c (Å): 5.008 5.008 5.008
angles (deg): 90.00 90.00 90.00
Space group Pm-3m (No. 221)
Asymmetric unit:
K 0.000 0.000 0.000 x1
Hf 0.500 0.500 0.500 x1
S 0.000 0.000 0.500 x3

Values from the calculation:
- Energy above the lowest structure with this stoichiometry: 2526 meV/atom
- Energy: -3.54 eV/atom
- E_form (uncorrected): 1.1498 eV per atom
- Fermi-level density of states: 1.231 states/eV per atom